(1)
# TaHgSb (PBE, optimized geometry)
# Raw formation energy = 361 meV/atom
# VASP energy = -5.06 eV/atom
# Crystal system = trigonal
data_TaHgSb
_chemical_formula_sum 'Ta1 Hg1 Sb1'
_symmetry_space_group_name_H-M 'P 3 m 1'
_symmetry_Int_Tables_number 156
_symmetry_space_group_name_Hall 'P 3 -2"'
_cell_length_a 3.2010
_cell_length_b 3.2010
_cell_length_c 7.5584
_cell_angle_alpha 90.00
_cell_angle_beta 90.00
_cell_angle_gamma 120.00
loop_
_atom_site_label
_atom_site_fract_x
_atom_site_fract_y
_atom_site_fract_z
_atom_site_occupancy
Ta1 0.0000 0.0000 0.0000 1
Hg1 0.6667 0.3333 0.3124 1
Sb1 0.3333 0.6667 0.6960 1

(2)
# Na8SbPb2 (PBE, optimized geometry)
# Raw formation energy = -228 meV/atom
# VASP energy = -2.24 eV/atom
# Crystal system = orthorhombic
data_Na8SbPb2
_chemical_formula_sum 'Na16 Sb2 Pb4'
_symmetry_space_group_name_H-M 'C m m m'
_symmetry_Int_Tables_number 65
_symmetry_space_group_name_Hall '-C 2 2'
_cell_length_a 9.8566
_cell_length_b 12.7557
_cell_length_c 5.3374
_cell_angle_alpha 90.00
_cell_angle_beta 90.00
_cell_angle_gamma 90.00
loop_
_atom_site_label
_atom_site_fract_x
_atom_site_fract_y
_atom_site_fract_z
_atom_site_occupancy
Na1 0.0000 0.2455 0.0000 1
Na2 0.1670 0.1292 0.5000 1
Na3 0.1699 0.5000 0.0000 1
Sb1 0.0000 0.0000 0.0000 1
Pb1 0.0000 0.3793 0.5000 1

(3)
# BaSc3Si (PBE, optimized geometry)
# Raw formation energy = 1451 meV/atom
# VASP energy = -3.82 eV/atom
# Crystal system = cubic
data_BaSc3Si
_chemical_formula_sum 'Ba1 Sc3 Si1'
_symmetry_space_group_name_H-M 'P m -3 m'
_symmetry_Int_Tables_number 221
_symmetry_space_group_name_Hall '-P 4 2 3'
_cell_length_a 5.2291
_cell_length_b 5.2291
_cell_length_c 5.2291
_cell_angle_alpha 90.00
_cell_angle_beta 90.00
_cell_angle_gamma 90.00
loop_
_atom_site_label
_atom_site_fract_x
_atom_site_fract_y
_atom_site_fract_z
_atom_site_occupancy
Ba1 0.0000 0.0000 0.0000 1
Sc1 0.0000 0.0000 0.5000 1
Si1 0.5000 0.5000 0.5000 1

(4)
# MgV3Zn (PBE, optimized geometry)
# ΔE_f = 1191 meV/atom
# VASP energy = -4.85 eV/atom
# Crystal system = cubic
data_MgV3Zn
_chemical_formula_sum 'Mg1 V3 Zn1'
_symmetry_space_group_name_H-M 'P m -3 m'
_symmetry_Int_Tables_number 221
_symmetry_space_group_name_Hall '-P 4 2 3'
_cell_length_a 4.5358
_cell_length_b 4.5358
_cell_length_c 4.5358
_cell_angle_alpha 90.00
_cell_angle_beta 90.00
_cell_angle_gamma 90.00
loop_
_atom_site_label
_atom_site_fract_x
_atom_site_fract_y
_atom_site_fract_z
_atom_site_occupancy
Mg1 0.0000 0.0000 0.0000 1
V1 0.0000 0.5000 0.5000 1
Zn1 0.5000 0.5000 0.5000 1

(5)
# Zr2BiBr (PBE, optimized geometry)
# Raw formation energy = 168 meV/atom
# VASP energy = -5.49 eV/atom
# Crystal system = tetragonal
data_Zr2BiBr
_chemical_formula_sum 'Zr8 Bi4 Br4'
_symmetry_space_group_name_H-M 'I -4 2 d'
_symmetry_Int_Tables_number 122
_symmetry_space_group_name_Hall 'I -4 2bw'
_cell_length_a 5.0775
_cell_length_b 5.0775
_cell_length_c 17.7871
_cell_angle_alpha 90.00
_cell_angle_beta 90.00
_cell_angle_gamma 90.00
loop_
_atom_site_label
_atom_site_fract_x
_atom_site_fract_y
_atom_site_fract_z
_atom_site_occupancy
Zr1 0.2100 0.2500 0.1250 1
Bi1 0.0000 0.0000 0.5000 1
Br1 0.0000 0.0000 0.0000 1

(6)
# MgAg2GeIr (PBE, optimized geometry)
# ΔE_f = 441 meV/atom
# VASP energy = -3.71 eV/atom
# Crystal system = tetragonal
data_MgAg2GeIr
_chemical_formula_sum 'Mg1 Ag2 Ge1 Ir1'
_symmetry_space_group_name_H-M 'P 4/m m m'
_symmetry_Int_Tables_number 123
_symmetry_space_group_name_Hall '-P 4 2'
_cell_length_a 4.8071
_cell_length_b 4.8071
_cell_length_c 4.6538
_cell_angle_alpha 90.00
_cell_angle_beta 90.00
_cell_angle_gamma 90.00
loop_
_atom_site_label
_atom_site_fract_x
_atom_site_fract_y
_atom_site_fract_z
_atom_site_occupancy
Mg1 0.0000 0.0000 0.0000 1
Ag1 0.0000 0.5000 0.5000 1
Ge1 0.5000 0.5000 0.5000 1
Ir1 0.5000 0.5000 0.0000 1